[1]
Here is a relaxed Mo3Se4S2 crystal from Alexandria. Energies are from GGA-PBE.

Unit cell a=3.277 b=3.277 c=22.637 alpha=90.00 beta=90.00 gamma=120.00
Atoms (fractional coordinates):
Mo 0.000 0.000 0.022
Mo 0.000 0.000 0.676
Mo 0.333 0.667 0.342
Se 0.000 0.000 0.417
Se 0.333 0.667 0.602
Se 0.333 0.667 0.751
Se 0.000 0.000 0.268
S 0.333 0.667 0.954
S 0.333 0.667 0.090

Values from the calculation:
* formation energy from raw total energies: -0.74 eV per atom
* total energy: -6.81 eV per atom


[2]
Here is a relaxed NdYAu2 crystal from Alexandria. Energies are from GGA-PBE.

Unit cell a=4.327 b=4.327 c=7.274 alpha=72.70 beta=72.70 gamma=60.00
Atoms (fractional coordinates):
Y 0.000 0.000 0.000
Nd 0.500 0.500 0.500
Au 0.745 0.745 0.764
Au 0.255 0.255 0.236

Values from the calculation:
* energy of formation: -0.6947 eV/atom
* total energy: -5.14 eV per atom


[3]
Here is a relaxed SrCdCo2Si crystal from Alexandria. Energies are from GGA-PBE.

Unit cell a=4.831 b=5.753 c=4.831 alpha=90.00 beta=90.00 gamma=90.00
Each line ends with the local moment (μB).
Atoms (fractional coordinates):
Sr 0.000 0.500 0.000  -0.02
Si 0.500 0.500 0.500  -0.05
Co 0.000 0.000 0.500  2.01
Co 0.500 0.000 0.000  1.74
Cd 0.000 0.000 0.000  -0.05

Values from the calculation:
* formation energy from raw total energies: 1.29 eV per atom
* total energy: -3.16 eV per atom


[4]
Here is a relaxed SiGe2S6 crystal from Alexandria. Energies are from GGA-PBE.

Unit cell a=6.062 b=9.083 c=9.083 alpha=91.20 beta=72.03 gamma=72.03
Atoms (fractional coordinates):
Si 0.250 0.229 0.771
Si 0.750 0.771 0.229
Ge 0.100 0.657 0.822
Ge 0.400 0.178 0.343
Ge 0.900 0.343 0.178
Ge 0.600 0.822 0.657
S 0.260 0.789 0.633
S 0.240 0.367 0.211
S 0.740 0.211 0.367
S 0.760 0.633 0.789
S 0.882 0.795 0.418
S 0.618 0.582 0.205
S 0.118 0.205 0.582
S 0.382 0.418 0.795
S 0.074 0.778 0.049
S 0.426 0.951 0.222
S 0.926 0.222 0.951
S 0.574 0.049 0.778

Values from the calculation:
* formation energy from raw total energies: -0.38 eV per atom
* total energy: -4.76 eV per atom